# Mn6ZnO12 (GGA+U, optimized geometry)
data_Mn6ZnO12
_chemical_formula_sum 'Mn6 Zn1 O12'
_symmetry_space_group_name_H-M 'P 1'
_symmetry_Int_Tables_number 1
_symmetry_space_group_name_Hall 'P 1'
_cell_length_a 5.932
_cell_length_b 5.932
_cell_length_c 5.932
_cell_angle_alpha 100.24
_cell_angle_beta 100.24
_cell_angle_gamma 100.24
loop_
_atom_site_label
_atom_site_type_symbol
_atom_site_fract_x
_atom_site_fract_y
_atom_site_fract_z
Mn1 Mn 0.678 0.869 0.393
Mn2 Mn 0.607 0.322 0.131
Mn3 Mn 0.131 0.607 0.322
Mn4 Mn 0.322 0.131 0.607
Mn5 Mn 0.393 0.678 0.869
Mn6 Mn 0.869 0.393 0.678
Zn1 Zn 0.000 0.000 0.000
O1 O 0.820 0.596 0.416
O2 O 0.416 0.820 0.596
O3 O 0.596 0.416 0.820
O4 O 0.180 0.404 0.584
O5 O 0.584 0.180 0.404
O6 O 0.404 0.584 0.180
O7 O 0.114 0.937 0.323
O8 O 0.063 0.677 0.886
O9 O 0.677 0.886 0.063
O10 O 0.886 0.063 0.677
O11 O 0.937 0.323 0.114
O12 O 0.323 0.114 0.937
# Calculated volume: 10.39 A^3/atom
# Electronic total energy: -6.819 eV/atom
# Crystal system: trigonal
# DOS at the Fermi energy: 6.71 states/eV per cell
# Mass density: 4.938 g cm⁻³